A plane-wave DFT calculation with GGA-PBE was carried out for a relaxed structure of Ce2PmZn2Au2.

Lattice parameters (Å, degrees): 4.5050 4.5050 26.8220 90.00 90.00 120.00
Space group R-3m (No. 166, hexagonal axes)
Unique sites:
Ce 0.0000 0.0000 0.1401 [6 per cell]
Pm 0.0000 0.0000 0.0000 [3 per cell]
Zn 0.0000 0.0000 0.4065 [6 per cell]
Au 0.0000 0.0000 0.2609 [6 per cell]

Calculated values
crystal system = trigonal
VASP energy = -4.17 eV/atom
theoretical density = 10.04 g/cm3